(1)
A relaxed Pr6Ni2OsCl3 crystal. Source: Alexandria via LeMat-Bulk, functional PBE.

Properties
uncorrected energy: -0.414 Ry/atom
space-group type: C2/m (12)

a b c (Å): 4.1107 8.9304 9.8131
angles (deg): 110.39 102.09 90.00
Last column: nearest neighbours and their distance in Å.
Fractional positions:
Pr (0.0093, 0.2243, 0.0185)  2 Os 2.83, 1 Ni 2.89
Ni (0.1702, 0.3432, 0.3405)  6 Pr 2.79-2.89
Pr (0.9907, 0.7757, 0.9815)  2 Os 2.83, 1 Ni 2.89
Pr (0.3443, 0.8880, 0.6886)  1 Os 2.79, 2 Ni 2.86
Pr (0.6747, 0.5589, 0.3494)  3 Ni 2.79-2.80
Pr (0.6557, 0.1120, 0.3114)  1 Os 2.79, 2 Ni 2.86
Ni (0.8298, 0.6568, 0.6595)  6 Pr 2.79-2.89
Os (0.5000, 0.0000, 0.0000)  6 Pr 2.79-2.83
Cl (0.5000, 0.5000, 0.0000)  6 Pr 3.20-3.26
Pr (0.3253, 0.4411, 0.6506)  3 Ni 2.79-2.80
Cl (0.8339, 0.1693, 0.6678)  6 Pr 3.22-3.31
Cl (0.1661, 0.8307, 0.3322)  6 Pr 3.22-3.31

=====

(2)
A relaxed TlTcTeO6 crystal. Source: Alexandria via LeMat-Bulk, functional PBE.

Properties
uncorrected energy: -0.454 Ry/atom
space-group type: P312 (149)

a b c (Å): 5.4091 5.4091 5.9991
angles (deg): 90.00 90.00 60.00
Last column: nearest neighbours and their distance in Å.
Fractional positions:
O (0.9902, 0.4304, 0.3066)  1 Tc 1.95, 1 Te 2.02
Tl (0.0000, 0.0000, 0.0000)  6 O 2.95
Te (0.3333, 0.3333, 0.5000)  6 O 2.02
O (0.4303, 0.9902, 0.6934)  1 Tc 1.95, 1 Te 2.02
O (0.5794, 0.4304, 0.6934)  1 Tc 1.95, 1 Te 2.02
O (0.4303, 0.5795, 0.3066)  1 Tc 1.95, 1 Te 2.02
O (0.5795, 0.9902, 0.3066)  1 Tc 1.95, 1 Te 2.02
Tc (0.6666, 0.6667, 0.5000)  6 O 1.95
O (0.9901, 0.5795, 0.6934)  1 Tc 1.95, 1 Te 2.02

=====

(3)
A relaxed Re2Ir crystal. Source: Alexandria via LeMat-Bulk, functional PBE.

Properties
uncorrected energy: -0.767 Ry/atom
DFT formation energy: 816 meV per atom
space-group type: Fm-3m (225)

a b c (Å): 4.2092 4.2092 4.2092
angles (deg): 60.00 60.00 60.00
Last column: nearest neighbours and their distance in Å.
Fractional positions:
Re (0.7500, 0.7500, 0.7500)  4 Ir 2.58
Ir (0.0000, 0.0000, 0.0000)  8 Re 2.58
Re (0.2500, 0.2500, 0.2500)  4 Ir 2.58

=====

(4)
A relaxed Rb2TiAsS4 crystal. Source: Alexandria via LeMat-Bulk, functional PBE.

Properties
uncorrected energy: -0.348 Ry/atom
space-group type: Fddd (70)

a b c (Å): 6.6451 7.2170 12.5448
angles (deg): 83.00 74.64 62.59
Last column: nearest neighbours and their distance in Å.
Fractional positions:
S (0.2430, 0.8301, 0.1138)  1 Ti 2.26
Ti (0.0000, 0.0000, 0.0000)  4 S 2.26
S (0.5631, 0.3301, 0.6138)  1 Ti 2.26
As (0.2500, 0.5000, 0.5000)  4 S 2.58
Ti (0.7500, 0.5000, 0.5000)  4 S 2.26
S (0.9269, 0.8301, 0.8862)  1 Ti 2.26
Rb (0.8192, 0.0000, 0.3615)  6 S 3.49-3.76
S (0.5070, 0.6699, 0.3862)  1 Ti 2.26
S (0.6432, 0.1699, 0.1138)  1 Ti 2.26
S (0.1869, 0.1699, 0.8862)  1 Ti 2.26
S (0.8231, 0.6699, 0.6138)  1 Ti 2.26
S (0.1068, 0.3301, 0.3862)  1 Ti 2.26
Rb (0.9308, 0.5000, 0.1385)  6 S 3.49-3.76
As (0.5000, 0.0000, 0.0000)  4 S 2.58
Rb (0.5692, 0.5000, 0.8615)  6 S 3.49-3.76
Rb (0.1808, 0.0000, 0.6385)  6 S 3.49-3.76

=====

(5)
A relaxed Pm12Tl5Bi3 crystal. Source: Alexandria via LeMat-Bulk, functional PBE.

Properties
uncorrected energy: -0.297 Ry/atom
DFT formation energy: -21 meV per atom
space-group type: Ia-3d (230)

a b c (Å): 15.9078 15.9078 15.9078
angles (deg): 109.47 109.47 109.47
Last column: nearest neighbours and their distance in Å.
Fractional positions:
Tl (0.6250, 0.8750, 0.2500)  4 Pm 3.01
Tl (0.0000, 0.5000, 0.5000)  6 Pm 3.06
Tl (0.5000, 0.5000, 0.0000)  6 Pm 3.06
Pm (0.9451, 0.5801, 0.1654)  2 Tl 3.01-3.06, 1 Bi 3.35
Pm (0.2796, 0.4147, 0.8346)  2 Tl 3.01-3.06, 1 Bi 3.35
Pm (0.6654, 0.4451, 0.5801)  2 Tl 3.01-3.06, 1 Bi 3.35
Pm (0.0549, 0.6351, 0.7204)  2 Tl 3.01-3.06, 1 Bi 3.35
Pm (0.5853, 0.8649, 0.4199)  2 Tl 3.01-3.06, 1 Bi 3.35
Pm (0.3649, 0.9451, 0.7796)  2 Tl 3.01-3.06, 1 Bi 3.35
Tl (0.2500, 0.8750, 0.1250)  4 Pm 3.01
Pm (0.7204, 0.5853, 0.1654)  2 Tl 3.01-3.06, 1 Bi 3.35
Pm (0.2796, 0.8649, 0.9451)  2 Tl 3.01-3.06, 1 Bi 3.35
Bi (0.8750, 0.1250, 0.2500)  8 Pm 3.35-3.41
Pm (0.7204, 0.1351, 0.0549)  2 Tl 3.01-3.06, 1 Bi 3.35
Tl (0.8750, 0.6250, 0.7500)  4 Pm 3.01
Pm (0.2204, 0.5549, 0.6351)  2 Tl 3.01-3.06, 1 Bi 3.35
Tl (0.5000, 0.5000, 0.5000)  6 Pm 3.06
Pm (0.8346, 0.9199, 0.0549)  2 Tl 3.01-3.06, 1 Bi 3.35
Bi (0.1250, 0.2500, 0.8750)  8 Pm 3.35-3.41
Pm (0.9199, 0.8346, 0.5549)  2 Tl 3.01-3.06, 1 Bi 3.35
Bi (0.2500, 0.6250, 0.8750)  8 Pm 3.35-3.41
Pm (0.7796, 0.4451, 0.3649)  2 Tl 3.01-3.06, 1 Bi 3.35
Bi (0.2500, 0.1250, 0.3750)  8 Pm 3.35-3.41
Bi (0.1250, 0.8750, 0.7500)  8 Pm 3.35-3.41
Tl (0.0000, 0.0000, 0.0000)  6 Pm 3.06
Pm (0.8649, 0.5853, 0.9199)  2 Tl 3.01-3.06, 1 Bi 3.35
Tl (0.6250, 0.7500, 0.8750)  4 Pm 3.01
Pm (0.3346, 0.5549, 0.4199)  2 Tl 3.01-3.06, 1 Bi 3.35
Pm (0.0801, 0.1654, 0.4451)  2 Tl 3.01-3.06, 1 Bi 3.35
Tl (0.0000, 0.5000, 0.0000)  6 Pm 3.06
Pm (0.4199, 0.0549, 0.3346)  2 Tl 3.01-3.06, 1 Bi 3.35
Tl (0.5000, 0.0000, 0.5000)  6 Pm 3.06
Pm (0.0549, 0.4199, 0.8346)  2 Tl 3.01-3.06, 1 Bi 3.35
Pm (0.5549, 0.3346, 0.9199)  2 Tl 3.01-3.06, 1 Bi 3.35
Pm (0.1351, 0.4147, 0.0801)  2 Tl 3.01-3.06, 1 Bi 3.35
Tl (0.3750, 0.2500, 0.1250)  4 Pm 3.01
Pm (0.9147, 0.0801, 0.6351)  2 Tl 3.01-3.06, 1 Bi 3.35
Tl (0.7500, 0.1250, 0.8750)  4 Pm 3.01
Pm (0.4147, 0.2796, 0.3346)  2 Tl 3.01-3.06, 1 Bi 3.35
Pm (0.2204, 0.6654, 0.0853)  2 Tl 3.01-3.06, 1 Bi 3.35
Tl (0.3750, 0.1250, 0.7500)  4 Pm 3.01
Pm (0.0801, 0.9147, 0.1351)  2 Tl 3.01-3.06, 1 Bi 3.35
Pm (0.0853, 0.1654, 0.2204)  2 Tl 3.01-3.06, 1 Bi 3.35
Bi (0.3750, 0.6250, 0.2500)  8 Pm 3.35-3.41
Tl (0.5000, 0.0000, 0.0000)  6 Pm 3.06
Pm (0.4147, 0.1351, 0.5801)  2 Tl 3.01-3.06, 1 Bi 3.35
Pm (0.5549, 0.2204, 0.1351)  2 Tl 3.01-3.06, 1 Bi 3.35
Pm (0.4451, 0.7796, 0.8649)  2 Tl 3.01-3.06, 1 Bi 3.35
Pm (0.9451, 0.3649, 0.2796)  2 Tl 3.01-3.06, 1 Bi 3.35
Pm (0.8649, 0.2796, 0.4451)  2 Tl 3.01-3.06, 1 Bi 3.35
Tl (0.7500, 0.6250, 0.3750)  4 Pm 3.01
Bi (0.8750, 0.7500, 0.1250)  8 Pm 3.35-3.41
Pm (0.7796, 0.3346, 0.9147)  2 Tl 3.01-3.06, 1 Bi 3.35
Pm (0.1351, 0.7204, 0.5549)  2 Tl 3.01-3.06, 1 Bi 3.35
Pm (0.5801, 0.6351, 0.4147)  2 Tl 3.01-3.06, 1 Bi 3.35
Tl (0.2500, 0.3750, 0.6250)  4 Pm 3.01
Pm (0.6654, 0.2204, 0.5853)  2 Tl 3.01-3.06, 1 Bi 3.35
Pm (0.1654, 0.0853, 0.7204)  2 Tl 3.01-3.06, 1 Bi 3.35
Pm (0.5853, 0.7204, 0.6654)  2 Tl 3.01-3.06, 1 Bi 3.35
Pm (0.9199, 0.0853, 0.8649)  2 Tl 3.01-3.06, 1 Bi 3.35
Bi (0.3750, 0.7500, 0.6250)  8 Pm 3.35-3.41
Pm (0.3346, 0.7796, 0.4147)  2 Tl 3.01-3.06, 1 Bi 3.35
Pm (0.0853, 0.9199, 0.3649)  2 Tl 3.01-3.06, 1 Bi 3.35
Bi (0.6250, 0.2500, 0.3750)  8 Pm 3.35-3.41
Pm (0.4451, 0.6654, 0.0801)  2 Tl 3.01-3.06, 1 Bi 3.35
Tl (0.8750, 0.2500, 0.6250)  4 Pm 3.01
Bi (0.7500, 0.8750, 0.6250)  8 Pm 3.35-3.41
Pm (0.8346, 0.9147, 0.2796)  2 Tl 3.01-3.06, 1 Bi 3.35
Pm (0.4199, 0.3649, 0.5853)  2 Tl 3.01-3.06, 1 Bi 3.35
Pm (0.9147, 0.8346, 0.7796)  2 Tl 3.01-3.06, 1 Bi 3.35
Bi (0.7500, 0.3750, 0.1250)  8 Pm 3.35-3.41
Pm (0.5801, 0.9451, 0.6654)  2 Tl 3.01-3.06, 1 Bi 3.35
Pm (0.1654, 0.0801, 0.9451)  2 Tl 3.01-3.06, 1 Bi 3.35
Bi (0.6250, 0.3750, 0.7500)  8 Pm 3.35-3.41
Tl (0.1250, 0.3750, 0.2500)  4 Pm 3.01
Pm (0.6351, 0.0549, 0.2204)  2 Tl 3.01-3.06, 1 Bi 3.35
Tl (0.1250, 0.7500, 0.3750)  4 Pm 3.01
Tl (0.0000, 0.0000, 0.5000)  6 Pm 3.06
Pm (0.3649, 0.4199, 0.0853)  2 Tl 3.01-3.06, 1 Bi 3.35
Pm (0.6351, 0.5801, 0.9147)  2 Tl 3.01-3.06, 1 Bi 3.35

=====

(6)
A relaxed NaPrNi crystal. Source: Alexandria via LeMat-Bulk, functional PBE.

Properties
uncorrected energy: -0.284 Ry/atom
DFT formation energy: 101 meV per atom
space-group type: C2/m (12)

a b c (Å): 4.1879 5.1744 8.3711
angles (deg): 101.91 90.00 113.87
Last column: nearest neighbours and their distance in Å.
Fractional positions:
Pr (0.1214, 0.2428, 0.8578)  4 Ni 2.80-2.99
Pr (0.8786, 0.7572, 0.1422)  4 Ni 2.80-2.99
Na (0.6340, 0.2681, 0.4274)  3 Ni 2.98-3.14, 3 Na 3.05-3.08
Ni (0.7983, 0.5966, 0.7980)  4 Pr 2.80-2.99, 2 Na 2.98
Ni (0.2017, 0.4034, 0.2020)  4 Pr 2.80-2.99, 2 Na 2.98
Na (0.3660, 0.7319, 0.5726)  3 Ni 2.98-3.14, 3 Na 3.05-3.08

=====

(7)
A relaxed MgCrFe3 crystal. Source: Alexandria via LeMat-Bulk, functional PBE.

Properties
uncorrected energy: -0.472 Ry/atom
DFT formation energy: 906 meV per atom
space-group type: Pm-3m (221)

a b c (Å): 4.2573 4.2573 4.2573
angles (deg): 90.00 90.00 90.00
Last column: nearest neighbours and their distance in Å.
Fractional positions:
Cr (0.0000, 0.0000, 0.0000)  6 Fe 2.13
Fe (0.5000, 0.0000, 0.0000)  2 Cr 2.13
Mg (0.5000, 0.5000, 0.5000)  12 Fe 3.01
Fe (0.0000, 0.5000, 0.0000)  2 Cr 2.13
Fe (0.0000, 0.0000, 0.5000)  2 Cr 2.13

=====

(8)
A relaxed Si2AsRh crystal. Source: Alexandria via LeMat-Bulk, functional PBE.

Properties
uncorrected energy: -0.419 Ry/atom
space-group type: P4mm (99)

a b c (Å): 2.9694 2.9694 7.0491
angles (deg): 90.00 90.00 90.00
Last column: nearest neighbours and their distance in Å.
Fractional positions:
Rh (0.5000, 0.5000, 0.7833)  4 Si 2.52, 4 As 2.74
As (0.0000, 0.0000, 0.5330)  4 Rh 2.74, 4 As 2.97
Si (0.5000, 0.5000, 0.2025)  4 Si 2.62
Si (0.0000, 0.0000, 0.9811)  4 Rh 2.52, 4 Si 2.62

=====

What did the first record say?
A relaxed Pr6Ni2OsCl3 crystal. Source: Alexandria via LeMat-Bulk, functional PBE.

Properties
uncorrected energy: -0.414 Ry/atom
space-group type: C2/m (12)

a b c (Å): 4.1107 8.9304 9.8131
angles (deg): 110.39 102.09 90.00
Last column: nearest neighbours and their distance in Å.
Fractional positions:
Pr (0.0093, 0.2243, 0.0185)  2 Os 2.83, 1 Ni 2.89
Ni (0.1702, 0.3432, 0.3405)  6 Pr 2.79-2.89
Pr (0.9907, 0.7757, 0.9815)  2 Os 2.83, 1 Ni 2.89
Pr (0.3443, 0.8880, 0.6886)  1 Os 2.79, 2 Ni 2.86
Pr (0.6747, 0.5589, 0.3494)  3 Ni 2.79-2.80
Pr (0.6557, 0.1120, 0.3114)  1 Os 2.79, 2 Ni 2.86
Ni (0.8298, 0.6568, 0.6595)  6 Pr 2.79-2.89
Os (0.5000, 0.0000, 0.0000)  6 Pr 2.79-2.83
Cl (0.5000, 0.5000, 0.0000)  6 Pr 3.20-3.26
Pr (0.3253, 0.4411, 0.6506)  3 Ni 2.79-2.80
Cl (0.8339, 0.1693, 0.6678)  6 Pr 3.22-3.31
Cl (0.1661, 0.8307, 0.3322)  6 Pr 3.22-3.31

=====

Question: Among the records above, which one has the highest uncorrected energy?
Answer: NaPrNi

=====

Question: Look up the uncorrected energy of the sixth one.
Answer: -0.284 Ry/atom